Ho4GePbC2 after structural relaxation, computed with GGA-PBE.

Computed properties:
Total DFT energy (no corrections), eV for the cell shown: -49.1
Space group: P-6m2 (187)

a b c (Å): 3.6042 3.6042 15.4165
angles (deg): 90.00 90.00 120.00
Last column: nearest neighbours and their distance in Å.
Fractional positions:
Ho1 0.0000 0.0000 0.1488  3 C 2.51
Ho2 0.0000 0.0000 0.8512  3 C 2.51
Ho3 0.3333 0.6667 0.3221  3 C 2.44
Ho4 0.3333 0.6667 0.6779  3 C 2.44
Ge1 0.3333 0.6667 0.0000  6 Ho 3.10
Pb1 0.0000 0.0000 0.5000  6 Ho 3.44, 6 Pb 3.60
C1 0.6667 0.3333 0.2393  6 Ho 2.44-2.51
C2 0.6667 0.3333 0.7607  6 Ho 2.44-2.51

***

Ta2Nb4Au3N3 after structural relaxation, computed with GGA-PBE.

Computed properties:
Total DFT energy (no corrections), eV for the cell shown: -211.5
Space group: C2/c (15)

a b c (Å): 5.5282 5.5282 13.9162
angles (deg): 101.48 101.48 60.04
Last column: nearest neighbours and their distance in Å.
Fractional positions:
Ta1 0.0280 0.8561 0.5843  3 N 2.13-2.14
Ta2 0.1439 0.9720 0.9157  3 N 2.13-2.14
Ta3 0.8561 0.0280 0.0843  3 N 2.13-2.14
Ta4 0.9720 0.1439 0.4157  3 N 2.13-2.14
Nb1 0.1947 0.3671 0.0844  3 N 2.18-2.19
Nb2 0.3105 0.4661 0.4156  3 N 2.18-2.19
Nb3 0.3671 0.1947 0.5844  3 N 2.18-2.19
Nb4 0.4661 0.3105 0.9156  3 N 2.18-2.19
Nb5 0.5339 0.6895 0.0844  3 N 2.18-2.19
Nb6 0.6329 0.8053 0.4156  3 N 2.18-2.19
Nb7 0.6895 0.5339 0.5844  3 N 2.18-2.19
Nb8 0.8053 0.6329 0.9156  3 N 2.18-2.19
Au1 0.0822 0.2442 0.7482  2 Ta 2.88-2.89, 4 Nb 2.91-2.92, 6 Au 3.14-3.22
Au2 0.2442 0.0822 0.2482  2 Ta 2.88-2.89, 4 Nb 2.91-2.92, 6 Au 3.14-3.22
Au3 0.4109 0.5891 0.7500  2 Ta 2.88, 4 Nb 2.90-2.91, 6 Au 3.14-3.22
Au4 0.5891 0.4109 0.2500  2 Ta 2.88, 4 Nb 2.90-2.91, 6 Au 3.14-3.22
Au5 0.7558 0.9178 0.7518  2 Ta 2.88-2.89, 4 Nb 2.91-2.92, 6 Au 3.14-3.22
Au6 0.9178 0.7558 0.2518  2 Ta 2.88-2.89, 4 Nb 2.91-2.92, 6 Au 3.14-3.22
N1 0.0000 0.5000 0.5000  2 Ta 2.14, 4 Nb 2.18
N2 0.1598 0.6807 0.0000  2 Ta 2.13, 4 Nb 2.18-2.19
N3 0.3193 0.8402 0.5000  2 Ta 2.13, 4 Nb 2.18-2.19
N4 0.5000 0.0000 0.0000  2 Ta 2.14, 4 Nb 2.18
N5 0.6807 0.1598 0.5000  2 Ta 2.13, 4 Nb 2.18-2.19
N6 0.8402 0.3193 0.0000  2 Ta 2.13, 4 Nb 2.18-2.19

***

NbCoSiNi after structural relaxation, computed with GGA-PBE.

Computed properties:
Total DFT energy (no corrections), eV for the cell shown: -29.6
Space group: F-43m (216)

a b c (Å): 4.1623 4.1623 4.1623
angles (deg): 60.00 60.00 60.00
Last column: nearest neighbours and their distance in Å.
Fractional positions:
Nb1 0.0000 0.0000 0.0000  4 Co 2.55, 4 Ni 2.55
Co1 0.7500 0.7500 0.7500  4 Nb 2.55, 4 Si 2.55
Si1 0.5000 0.5000 0.5000  4 Co 2.55, 4 Ni 2.55
Ni1 0.2500 0.2500 0.2500  4 Si 2.55, 4 Nb 2.55

***

NaTmSO after structural relaxation, computed with GGA-PBE.

Computed properties:
Total DFT energy (no corrections), eV for the cell shown: -92.7
Space group: Pca2_1 (29)

a b c (Å): 6.8973 8.8358 5.4119
angles (deg): 90.00 90.00 90.00
Last column: nearest neighbours and their distance in Å.
Fractional positions:
Na1 0.1171 0.0728 0.0000  3 O 2.26-2.35
Na2 0.3829 0.0728 0.5000  3 O 2.26-2.35
Na3 0.6171 0.9272 0.0000  3 O 2.26-2.35
Na4 0.8829 0.9272 0.5000  3 O 2.26-2.35
Tm1 0.0427 0.6628 0.0640  1 O 1.96
Tm2 0.4573 0.6628 0.5640  1 O 1.96
Tm3 0.5427 0.3372 0.0640  1 O 1.96
Tm4 0.9573 0.3372 0.5640  1 O 1.96
S1 0.0714 0.6341 0.5660  4 Tm 2.67-2.74, 1 Na 2.92
S2 0.4286 0.6341 0.0660  4 Tm 2.67-2.74, 1 Na 2.92
S3 0.5714 0.3659 0.5660  4 Tm 2.67-2.74, 1 Na 2.92
S4 0.9286 0.3659 0.0660  4 Tm 2.67-2.74, 1 Na 2.92
O1 0.0670 0.1330 0.5824  1 Tm 1.96
O2 0.4330 0.1330 0.0824  1 Tm 1.96
O3 0.5670 0.8670 0.5824  1 Tm 1.96
O4 0.9330 0.8670 0.0824  1 Tm 1.96